No. 1
A plane-wave DFT calculation with PBE-GGA was carried out for LiCdO4 after structural relaxation.

```
48
Lattice="5.7499 0.0000 0.0000 1.5111 9.4888 0.0000 2.0288 4.1175 9.7198" Properties=species:S:1:pos:R:3 pbc="T T T"
O 1.6023 2.5556 3.9565
O 2.9513 6.8607 7.2182
O 3.7959 7.1678 8.1954
O 3.4437 6.6216 4.2201
O 6.7843 8.5399 9.2294
O 6.7462 12.0554 6.0646
O 4.6161 4.7626 7.8833
O 2.5616 4.1352 1.6187
O 5.9265 6.9785 6.2018
O 5.6429 3.5582 0.0794
O 7.8547 9.2627 6.5337
O 6.0732 5.6800 2.7563
O 3.7113 8.3369 1.7329
O 4.8022 10.1592 5.3831
O 2.2222 3.8368 8.8214
O 3.8411 4.6894 6.7679
O 6.8726 4.4711 5.4930
O 5.4390 6.1725 1.6220
O 6.3160 8.7476 3.2547
O 6.3465 6.7065 0.6418
O 1.4278 0.9640 1.9088
O 3.9028 9.5685 4.5312
O 3.0364 9.8189 7.3579
O 5.9312 3.9808 4.8101
O 7.2112 6.3351 9.7085
O 2.3396 1.2977 0.9971
O 5.5251 10.7662 8.3742
O 4.7069 1.8239 2.7744
O 4.5654 8.8412 0.8236
O 4.9650 3.1628 2.5686
O 2.5458 3.0640 4.7206
O 7.5310 12.2905 7.0786
Li 5.6554 12.6467 8.9354
Li 3.6778 2.7444 1.1348
Li 7.4094 10.4038 8.6835
Li 0.9696 3.7557 2.3694
Li 4.7378 10.0872 2.8129
Li 3.2187 5.4953 9.1712
Li 4.5825 7.8535 3.4937
Li 4.2363 6.3440 5.8290
Cd 5.4390 8.8094 7.1787
Cd 3.6732 4.7564 3.3752
Cd 6.9673 8.9107 1.1826
Cd 7.1647 7.0908 4.4506
Cd 2.6360 5.7126 0.3337
Cd 7.3425 10.2673 4.4865
Cd 4.1318 11.9517 7.0169
Cd 6.7479 5.4965 7.6568
```

Properties
As for the total energy: -0.3239 Ry per atom. The value obtained for the polymorph energy (0 for the lowest one) is 0.0 meV per atom. The crystal system is triclinic.



No. 2
A plane-wave DFT calculation with PBE-GGA was carried out for TeMoS after structural relaxation.

```
3
Lattice="1.6844 0.9725 6.6753 -1.6844 0.9725 6.6753 0.0000 -1.9450 6.6753" Properties=species:S:1:pos:R:3 pbc="T T T"
Te 0.0000 0.0000 15.1185
S 0.0000 0.0000 11.7270
Mo 0.0000 0.0000 6.5233
```

Properties
As for the total energy: -0.4816 Ry per atom. The crystal system is trigonal.



No. 3
A plane-wave DFT calculation with PBE-GGA was carried out for ScTaCuSn after structural relaxation.

```
4
Lattice="2.7472 1.5244 3.5591 -1.9656 2.0389 3.8102 -0.0271 -2.2803 4.1639" Properties=species:S:1:pos:R:3 pbc="T T T"
Sn 0.0000 0.0000 0.0000
Sc 0.3773 0.6415 5.7666
Ta 0.1886 0.3208 2.8833
Cu 0.5659 0.9623 8.6499
```

Properties
As for the total energy: -0.4546 Ry per atom. The value obtained for the polymorph energy (0 for the lowest one) is 0.0 meV per atom. The crystal system is cubic.



No. 4
A plane-wave DFT calculation with PBE-GGA was carried out for TbAlCuPd after structural relaxation.

```
8
Lattice="-1.5300 -1.2098 -3.9040 -2.4083 -0.6429 3.5823 -3.7103 8.0686 -1.0463" Properties=species:S:1:pos:R:3 pbc="T T T"
Tb -4.6001 5.0189 -2.1918
Tb -3.0377 1.1736 0.8268
Pd -2.1025 -0.4124 -1.4875
Pd -4.2504 3.8108 0.4848
Cu -3.3946 2.3975 -1.8519
Cu -5.5426 6.6208 0.1204
Al -0.0088 0.0192 -0.0025
Al -1.8640 4.0535 -0.5256
```

Properties
As for the total energy: -0.3650 Ry per atom. The crystal system is hexagonal.



Question: Number 3 is which compound?
Answer: ScTaCuSn